# 1
# Fe2SbCl | the Alexandria database | PBE | optimized geometry
data_Fe2SbCl
_symmetry_space_group_name_H-M 'C 1 2/m 1'
_symmetry_Int_Tables_number 12
_cell_length_a 6.7179
_cell_length_b 6.7163
_cell_length_c 3.0640
_cell_angle_alpha 90.00
_cell_angle_beta 90.62
_cell_angle_gamma 90.00
loop_
_symmetry_equiv_pos_as_xyz
'x,y,z'
'-x,-y,-z'
'-x,y,-z'
'x,-y,z'
'x+1/2,y+1/2,z'
'-x+1/2,-y+1/2,-z'
'-x+1/2,y+1/2,-z'
'x+1/2,-y+1/2,z'
loop_
_atom_site_label
_atom_site_fract_x
_atom_site_fract_y
_atom_site_fract_z
Fe1 0.2500 0.2500 0.0000
Sb1 0.0000 0.0000 0.5000
Cl1 0.0000 0.5000 0.5000
# E_form (uncorrected) = 0.452 eV/atom
# Uncorrected energy = -5.27 eV/atom
# Spin magnetization = 6.0 μB per formula unit



# 2
# Fe2SbCl | the Alexandria database | PBE | optimized geometry
data_Fe2SbCl
_symmetry_space_group_name_H-M 'C 1 2/m 1'
_symmetry_Int_Tables_number 12
_cell_length_a 8.9885
_cell_length_b 3.1277
_cell_length_c 7.1920
_cell_angle_alpha 90.00
_cell_angle_beta 126.26
_cell_angle_gamma 90.00
loop_
_symmetry_equiv_pos_as_xyz
'x,y,z'
'-x,-y,-z'
'-x,y,-z'
'x,-y,z'
'x+1/2,y+1/2,z'
'-x+1/2,-y+1/2,-z'
'-x+1/2,y+1/2,-z'
'x+1/2,-y+1/2,z'
loop_
_atom_site_label
_atom_site_fract_x
_atom_site_fract_y
_atom_site_fract_z
Fe1 0.2021 0.0000 0.3444
Sb1 0.0000 0.0000 0.5000
Cl1 0.0000 0.5000 0.0000
# E_form (uncorrected) = 0.091 eV/atom
# Uncorrected energy = -5.63 eV/atom
# Spin magnetization = 5.2 μB per formula unit



# 3
# FeSbCl2 | the Alexandria database | PBE | optimized geometry
data_FeSbCl2
_symmetry_space_group_name_H-M 'P 1 m 1'
_symmetry_Int_Tables_number 6
_cell_length_a 5.6097
_cell_length_b 3.2623
_cell_length_c 5.6297
_cell_angle_alpha 90.00
_cell_angle_beta 102.98
_cell_angle_gamma 90.00
loop_
_symmetry_equiv_pos_as_xyz
'x,y,z'
'x,-y,z'
loop_
_atom_site_label
_atom_site_fract_x
_atom_site_fract_y
_atom_site_fract_z
Fe1 0.0000 0.0000 0.0000
Sb1 0.2840 0.5000 0.3210
Cl1 0.6208 0.0000 0.0717
Cl2 0.9723 0.5000 0.6908
# E_form (uncorrected) = -0.285 eV/atom
# Uncorrected energy = -4.35 eV/atom
# Energy relative to the lowest polymorph listed for this composition = 0 meV per atom
# Spin magnetization = 2.9 μB per formula unit